# PBE KCdRh, optimized geometry
data_KCdRh
_chemical_formula_sum 'K2 Cd2 Rh2'
_cell_length_a 3.657
_cell_length_b 3.657
_cell_length_c 11.790
_cell_angle_alpha 90.00
_cell_angle_beta 90.00
_cell_angle_gamma 90.00
_space_group_name_H-M_alt 'I 4 m m'
_space_group_IT_number 107
_space_group_name_Hall 'I 4 -2'
loop_
_atom_site_label
_atom_site_type_symbol
_atom_site_fract_x
_atom_site_fract_y
_atom_site_fract_z
K1 K 0.000 0.000 0.000
Cd1 Cd 0.000 0.000 0.277
Rh1 Rh 0.000 0.000 0.714
# energy above the most stable polymorph in this dataset = 24.9 meV per atom

---

# PBE KCd9Rh2, optimized geometry
data_KCd9Rh2
_chemical_formula_sum 'K1 Cd9 Rh2'
_cell_length_a 9.1501
_cell_length_b 9.1501
_cell_length_c 4.1521
_cell_angle_alpha 90.00
_cell_angle_beta 90.00
_cell_angle_gamma 120.00
_space_group_name_H-M_alt 'P 6/m m m'
_space_group_IT_number 191
_space_group_name_Hall '-P 6 2'
loop_
_atom_site_label
_atom_site_type_symbol
_atom_site_fract_x
_atom_site_fract_y
_atom_site_fract_z
K1 K 0.0000 0.0000 0.0000
Cd1 Cd 0.0000 0.5000 0.0000
Cd2 Cd 0.2093 0.4185 0.5000
Rh1 Rh 0.3333 0.6667 0.0000
# energy above the most stable polymorph in this dataset = 27.5 meV per atom

---

# PBE KCd3Rh, optimized geometry
data_KCd3Rh
_chemical_formula_sum 'K4 Cd12 Rh4'
_cell_length_a 6.446
_cell_length_b 7.368
_cell_length_c 10.898
_cell_angle_alpha 90.00
_cell_angle_beta 90.00
_cell_angle_gamma 90.00
_space_group_name_H-M_alt 'I m m m'
_space_group_IT_number 71
_space_group_name_Hall '-I 2 2'
loop_
_atom_site_label
_atom_site_type_symbol
_atom_site_fract_x
_atom_site_fract_y
_atom_site_fract_z
K1 K 0.000 0.000 0.000
K2 K 0.000 0.500 0.000
Cd1 Cd 0.000 0.195 0.500
Cd2 Cd 0.250 0.250 0.250
Rh1 Rh 0.000 0.500 0.360
# energy above the most stable polymorph in this dataset = 25.6 meV per atom

---

# PBE KCd3Rh, optimized geometry
data_KCd3Rh
_chemical_formula_sum 'K2 Cd6 Rh2'
_cell_length_a 3.091
_cell_length_b 6.223
_cell_length_c 12.992
_cell_angle_alpha 90.00
_cell_angle_beta 90.00
_cell_angle_gamma 90.00
_space_group_name_H-M_alt 'A m m 2'
_space_group_IT_number 38
loop_
_space_group_symop_operation_xyz
'x,y,z'
'-x,-y,z'
'-x,y,z'
'x,-y,z'
'x,y+1/2,z+1/2'
'-x,-y+1/2,z+1/2'
'-x,y+1/2,z+1/2'
'x,-y+1/2,z+1/2'
loop_
_atom_site_label
_atom_site_type_symbol
_atom_site_fract_x
_atom_site_fract_y
_atom_site_fract_z
K1 K 0.000 0.000 0.000
Cd1 Cd 0.000 0.245 0.262
Cd2 Cd 0.500 0.000 0.598
Rh1 Rh 0.500 0.000 0.392
# energy above the most stable polymorph in this dataset = 165.5 meV per atom

---

# PBE KCd3Rh, optimized geometry
data_KCd3Rh
_chemical_formula_sum 'K2 Cd6 Rh2'
_cell_length_a 4.952
_cell_length_b 5.846
_cell_length_c 8.807
_cell_angle_alpha 90.00
_cell_angle_beta 95.73
_cell_angle_gamma 90.00
_space_group_name_H-M_alt 'P 1 21/m 1'
_space_group_IT_number 11
loop_
_space_group_symop_operation_xyz
'x,y,z'
'-x,-y,-z'
'-x,y+1/2,-z'
'x,-y+1/2,z'
loop_
_atom_site_label
_atom_site_type_symbol
_atom_site_fract_x
_atom_site_fract_y
_atom_site_fract_z
K1 K 0.246 0.250 0.458
Cd1 Cd 0.193 0.750 0.171
Cd2 Cd 0.314 0.512 0.844
Rh1 Rh 0.173 0.250 0.100
# energy above the most stable polymorph in this dataset = 51.3 meV per atom

---

# PBE K2Cd4Rh, optimized geometry
data_K2Cd4Rh
_chemical_formula_sum 'K4 Cd8 Rh2'
_cell_length_a 5.300
_cell_length_b 15.250
_cell_length_c 5.315
_cell_angle_alpha 90.00
_cell_angle_beta 90.00
_cell_angle_gamma 90.00
_space_group_name_H-M_alt 'C m m m'
_space_group_IT_number 65
_space_group_name_Hall '-C 2 2'
loop_
_atom_site_label
_atom_site_type_symbol
_atom_site_fract_x
_atom_site_fract_y
_atom_site_fract_z
K1 K 0.000 0.150 0.000
Cd1 Cd 0.000 0.000 0.500
Cd2 Cd 0.000 0.325 0.500
Cd3 Cd 0.000 0.500 0.000
Rh1 Rh 0.000 0.500 0.500
# energy above the most stable polymorph in this dataset = 0.0 meV per atom

---

# PBE KCd3Rh, optimized geometry
data_KCd3Rh
_chemical_formula_sum 'K4 Cd12 Rh4'
_cell_length_a 5.228
_cell_length_b 5.228
_cell_length_c 24.474
_cell_angle_alpha 90.00
_cell_angle_beta 90.00
_cell_angle_gamma 90.00
_space_group_name_H-M_alt 'I -4 m 2'
_space_group_IT_number 119
_space_group_name_Hall 'I -4 -2'
loop_
_atom_site_label
_atom_site_type_symbol
_atom_site_fract_x
_atom_site_fract_y
_atom_site_fract_z
K1 K 0.000 0.000 0.000
K2 K 0.000 0.500 0.250
Cd1 Cd 0.000 0.000 0.338
Cd2 Cd 0.000 0.245 0.133
Rh1 Rh 0.000 0.500 0.699
# energy above the most stable polymorph in this dataset = 423.5 meV per atom

---

# PBE KCd3Rh, optimized geometry
data_KCd3Rh
_chemical_formula_sum 'K1 Cd3 Rh1'
_cell_length_a 5.266
_cell_length_b 5.266
_cell_length_c 5.266
_cell_angle_alpha 90.00
_cell_angle_beta 90.00
_cell_angle_gamma 90.00
_space_group_name_H-M_alt 'P m -3 m'
_space_group_IT_number 221
_space_group_name_Hall '-P 4 2 3'
loop_
_atom_site_label
_atom_site_type_symbol
_atom_site_fract_x
_atom_site_fract_y
_atom_site_fract_z
K1 K 0.000 0.000 0.000
Cd1 Cd 0.000 0.500 0.500
Rh1 Rh 0.500 0.500 0.500
# energy above the most stable polymorph in this dataset = 9.0 meV per atom

---

# PBE KCdRh, optimized geometry
data_KCdRh
_chemical_formula_sum 'K2 Cd2 Rh2'
_cell_length_a 4.855
_cell_length_b 4.855
_cell_length_c 7.326
_cell_angle_alpha 90.00
_cell_angle_beta 90.00
_cell_angle_gamma 90.00
_space_group_name_H-M_alt 'P 4/n m m'
_space_group_IT_number 129
loop_
_space_group_symop_operation_xyz
'x,y,z'
'-x,-y,-z'
'-y+1/2,x,z'
'y+1/2,-x,-z'
'-x+1/2,-y+1/2,z'
'x+1/2,y+1/2,-z'
'y,-x+1/2,z'
'-y,x+1/2,-z'
'x+1/2,-y,-z'
'-x+1/2,y,z'
'-y,-x,-z'
'y,x,z'
'-x,y+1/2,-z'
'x,-y+1/2,z'
'y+1/2,x+1/2,-z'
'-y+1/2,-x+1/2,z'
loop_
_atom_site_label
_atom_site_type_symbol
_atom_site_fract_x
_atom_site_fract_y
_atom_site_fract_z
K1 K 0.250 0.250 0.175
Cd1 Cd 0.250 0.250 0.658
Rh1 Rh 0.250 0.750 0.500
# energy above the most stable polymorph in this dataset = 0.0 meV per atom

---

# PBE KCd3Rh, optimized geometry
data_KCd3Rh
_chemical_formula_sum 'K4 Cd12 Rh4'
_cell_length_a 5.765
_cell_length_b 5.765
_cell_length_c 18.191
_cell_angle_alpha 90.00
_cell_angle_beta 90.00
_cell_angle_gamma 90.00
_space_group_name_H-M_alt 'I -4 m 2'
_space_group_IT_number 119
_space_group_name_Hall 'I -4 -2'
loop_
_atom_site_label
_atom_site_type_symbol
_atom_site_fract_x
_atom_site_fract_y
_atom_site_fract_z
K1 K 0.000 0.000 0.188
Cd1 Cd 0.000 0.247 0.375
Cd2 Cd 0.000 0.500 0.525
Rh1 Rh 0.000 0.000 0.500
Rh2 Rh 0.000 0.500 0.250
# energy above the most stable polymorph in this dataset = 140.4 meV per atom

---

# PBE KCd3Rh, optimized geometry
data_KCd3Rh
_chemical_formula_sum 'K3 Cd9 Rh3'
_cell_length_a 6.0581
_cell_length_b 6.0581
_cell_length_c 11.7650
_cell_angle_alpha 90.00
_cell_angle_beta 90.00
_cell_angle_gamma 120.00
_space_group_name_H-M_alt 'R 3 m'
_space_group_IT_number 160
_space_group_name_Hall 'R 3 -2"'
loop_
_atom_site_label
_atom_site_type_symbol
_atom_site_fract_x
_atom_site_fract_y
_atom_site_fract_z
K1 K 0.0000 0.0000 0.0000
Cd1 Cd 0.0036 0.5018 0.1078
Rh1 Rh 0.0000 0.0000 0.2552
# energy above the most stable polymorph in this dataset = 388.6 meV per atom

---

# PBE KCd3Rh, optimized geometry
data_KCd3Rh
_chemical_formula_sum 'K4 Cd12 Rh4'
_cell_length_a 7.375
_cell_length_b 10.459
_cell_length_c 7.466
_cell_angle_alpha 90.00
_cell_angle_beta 90.00
_cell_angle_gamma 90.00
_space_group_name_H-M_alt 'I m m a'
_space_group_IT_number 74
_space_group_name_Hall '-I 2b 2'
loop_
_atom_site_label
_atom_site_type_symbol
_atom_site_fract_x
_atom_site_fract_y
_atom_site_fract_z
K1 K 0.000 0.250 0.079
Cd1 Cd 0.000 0.250 0.561
Cd2 Cd 0.250 0.032 0.750
Rh1 Rh 0.000 0.000 0.500
# energy above the most stable polymorph in this dataset = 0.0 meV per atom

---

# PBE KCdRh, optimized geometry
data_KCdRh
_chemical_formula_sum 'K4 Cd4 Rh4'
_cell_length_a 6.961
_cell_length_b 6.961
_cell_length_c 6.961
_cell_angle_alpha 90.00
_cell_angle_beta 90.00
_cell_angle_gamma 90.00
_space_group_name_H-M_alt 'F -4 3 m'
_space_group_IT_number 216
_space_group_name_Hall 'F -4 2 3'
loop_
_atom_site_label
_atom_site_type_symbol
_atom_site_fract_x
_atom_site_fract_y
_atom_site_fract_z
K1 K 0.000 0.000 0.000
Cd1 Cd 0.250 0.250 0.750
Rh1 Rh 0.250 0.250 0.250
# energy above the most stable polymorph in this dataset = 967.0 meV per atom

---

# PBE KCd3Rh, optimized geometry
data_KCd3Rh
_chemical_formula_sum 'K4 Cd12 Rh4'
_cell_length_a 14.100
_cell_length_b 4.197
_cell_length_c 9.476
_cell_angle_alpha 90.00
_cell_angle_beta 105.24
_cell_angle_gamma 90.00
_space_group_name_H-M_alt 'C 1 2/m 1'
_space_group_IT_number 12
loop_
_space_group_symop_operation_xyz
'x,y,z'
'-x,-y,-z'
'-x,y,-z'
'x,-y,z'
'x+1/2,y+1/2,z'
'-x+1/2,-y+1/2,-z'
'-x+1/2,y+1/2,-z'
'x+1/2,-y+1/2,z'
loop_
_atom_site_label
_atom_site_type_symbol
_atom_site_fract_x
_atom_site_fract_y
_atom_site_fract_z
K1 K 0.118 0.000 0.406
Cd1 Cd 0.098 0.000 0.974
Cd2 Cd 0.105 0.500 0.725
Cd3 Cd 0.238 0.500 0.181
Rh1 Rh 0.041 0.500 0.138
# energy above the most stable polymorph in this dataset = 164.9 meV per atom

---

# PBE KCdRh2, optimized geometry
data_KCdRh2
_chemical_formula_sum 'K4 Cd4 Rh8'
_cell_length_a 6.767
_cell_length_b 6.767
_cell_length_c 6.767
_cell_angle_alpha 90.00
_cell_angle_beta 90.00
_cell_angle_gamma 90.00
_space_group_name_H-M_alt 'F -4 3 m'
_space_group_IT_number 216
_space_group_name_Hall 'F -4 2 3'
loop_
_atom_site_label
_atom_site_type_symbol
_atom_site_fract_x
_atom_site_fract_y
_atom_site_fract_z
K1 K 0.000 0.000 0.000
Cd1 Cd 0.250 0.250 0.250
Rh1 Rh 0.000 0.000 0.500
Rh2 Rh 0.250 0.250 0.750
# raw total energy = -3.5571 eV/atom

---

# PBE K2Cd2Rh, optimized geometry
data_K2Cd2Rh
_chemical_formula_sum 'K4 Cd4 Rh2'
_cell_length_a 7.156
_cell_length_b 7.156
_cell_length_c 5.841
_cell_angle_alpha 90.00
_cell_angle_beta 90.00
_cell_angle_gamma 90.00
_space_group_name_H-M_alt 'P 4/m b m'
_space_group_IT_number 127
_space_group_name_Hall '-P 4 2ab'
loop_
_atom_site_label
_atom_site_type_symbol
_atom_site_fract_x
_atom_site_fract_y
_atom_site_fract_z
K1 K 0.181 0.319 0.000
Cd1 Cd 0.156 0.656 0.500
Rh1 Rh 0.000 0.000 0.500
# raw total energy = -2.1435 eV/atom

---

# PBE KCd3Rh, optimized geometry
data_KCd3Rh
_chemical_formula_sum 'K1 Cd3 Rh1'
_cell_length_a 4.009
_cell_length_b 4.009
_cell_length_c 8.784
_cell_angle_alpha 90.00
_cell_angle_beta 90.00
_cell_angle_gamma 90.00
_space_group_name_H-M_alt 'P 4 m m'
_space_group_IT_number 99
loop_
_space_group_symop_operation_xyz
'x,y,z'
'-y,x,z'
'-x,-y,z'
'y,-x,z'
'-x,y,z'
'y,x,z'
'x,-y,z'
'-y,-x,z'
loop_
_atom_site_label
_atom_site_type_symbol
_atom_site_fract_x
_atom_site_fract_y
_atom_site_fract_z
K1 K 0.000 0.000 0.000
Cd1 Cd 0.000 0.000 0.633
Cd2 Cd 0.000 0.500 0.357
Rh1 Rh 0.500 0.500 0.591
# energy above the most stable polymorph in this dataset = 191.9 meV per atom

---

# PBE KCd3Rh, optimized geometry
data_KCd3Rh
_chemical_formula_sum 'K2 Cd6 Rh2'
_cell_length_a 6.783
_cell_length_b 7.207
_cell_length_c 7.356
_cell_angle_alpha 91.80
_cell_angle_beta 117.44
_cell_angle_gamma 118.05
_space_group_name_H-M_alt 'P 1'
_space_group_IT_number 1
loop_
_space_group_symop_operation_xyz
'x,y,z'
loop_
_atom_site_label
_atom_site_type_symbol
_atom_site_fract_x
_atom_site_fract_y
_atom_site_fract_z
K1 K 0.000 0.000 0.000
K2 K 0.453 0.365 0.536
Cd1 Cd 0.054 0.544 0.010
Cd2 Cd 0.424 0.832 0.496
Cd3 Cd 0.504 0.543 0.010
Cd4 Cd 0.542 0.086 0.996
Cd5 Cd 0.870 0.213 0.523
Cd6 Cd 0.907 0.832 0.496
Rh1 Rh 0.193 0.660 0.722
Rh2 Rh 0.897 0.501 0.290
# energy above the most stable polymorph in this dataset = 37.7 meV per atom

---

# PBE KCd3Rh, optimized geometry
data_KCd3Rh
_chemical_formula_sum 'K2 Cd6 Rh2'
_cell_length_a 4.5100
_cell_length_b 4.5100
_cell_length_c 20.7540
_cell_angle_alpha 90.00
_cell_angle_beta 90.00
_cell_angle_gamma 120.00
_space_group_name_H-M_alt 'P 63/m m c'
_space_group_IT_number 194
_space_group_name_Hall '-P 6c 2c'
loop_
_atom_site_label
_atom_site_type_symbol
_atom_site_fract_x
_atom_site_fract_y
_atom_site_fract_z
K1 K 0.0000 0.0000 0.0000
Cd1 Cd 0.0000 0.0000 0.2500
Cd2 Cd 0.3333 0.6667 0.1237
Rh1 Rh 0.3333 0.6667 0.2500
# energy above the most stable polymorph in this dataset = 433.2 meV per atom

---

# PBE KCdRh2, optimized geometry
data_KCdRh2
_chemical_formula_sum 'K1 Cd1 Rh2'
_cell_length_a 2.835
_cell_length_b 4.736
_cell_length_c 6.562
_cell_angle_alpha 90.00
_cell_angle_beta 98.10
_cell_angle_gamma 90.00
_space_group_name_H-M_alt 'P 1 2/m 1'
_space_group_IT_number 10
loop_
_space_group_symop_operation_xyz
'x,y,z'
'-x,-y,-z'
'-x,y,-z'
'x,-y,z'
loop_
_atom_site_label
_atom_site_type_symbol
_atom_site_fract_x
_atom_site_fract_y
_atom_site_fract_z
K1 K 0.000 0.000 0.000
Cd1 Cd 0.500 0.000 0.500
Rh1 Rh 0.286 0.500 0.671
# raw total energy = -3.7739 eV/atom